Record 1
As2PPb2 | Alexandria | GGA-PBE | relaxed; VASP energy = -4.161 eV/atom; DOS(E_F) = 4.4 states/eV/cell
1.0
-0.451 4.185 -5.294
-4.718 -3.989 -2.752
-3.906 2.842 2.579
As Pb P
4 4 2
Direct
0.367 0.867 0.000 As
0.133 0.367 0.000 As
0.867 0.633 0.000 As
0.633 0.133 0.000 As
0.739 0.761 0.500 Pb
0.261 0.239 0.500 Pb
0.761 0.261 0.500 Pb
0.239 0.739 0.500 Pb
0.000 0.000 0.000 P
0.500 0.500 0.000 P

Record 2
As2PPb | Alexandria | GGA-PBE | relaxed; VASP energy = -4.375 eV/atom; DOS(E_F) = 1.2 states/eV/cell
1.0
5.440 -0.007 -0.017
4.311 3.317 -0.017
2.051 0.696 4.986
As Pb P
2 1 1
Direct
0.449 0.449 0.616 As
0.051 0.051 0.884 As
0.250 0.250 0.250 Pb
0.750 0.750 0.750 P

Record 3
As2PPb | Alexandria | GGA-PBE | relaxed; VASP energy = -4.064 eV/atom; DOS(E_F) = 1.8 states/eV/cell
1.0
4.756 0.000 0.000
0.000 4.756 0.000
0.000 0.000 3.816
As P Pb
2 1 1
Direct
0.500 0.500 0.000 As
0.000 0.000 0.000 As
0.500 0.000 0.500 P
0.000 0.500 0.500 Pb

Record 4
As2PPb | Alexandria | GGA-PBE | relaxed; VASP energy = -4.413 eV/atom; DOS(E_F) = 1.9 states/eV/cell
1.0
-4.314 -4.132 3.808
-1.040 -6.186 3.293
-1.211 -3.452 6.067
As Pb P
2 1 1
Direct
0.984 0.984 0.984 As
0.516 0.516 0.516 As
0.750 0.750 0.750 Pb
0.250 0.250 0.250 P

Record 5
As2PPb | Alexandria | GGA-PBE | relaxed; VASP energy = -4.373 eV/atom; DOS(E_F) = 1.4 states/eV/cell
1.0
5.476 -0.025 0.045
4.370 3.299 0.045
2.196 0.730 5.119
As P Pb
2 1 1
Direct
0.043 0.043 0.886 As
0.773 0.773 0.701 As
0.463 0.463 0.649 P
0.222 0.222 0.263 Pb

Record 6
As2PPb | Alexandria | GGA-PBE | relaxed; VASP energy = -4.064 eV/atom; DOS(E_F) = 2.6 states/eV/cell
1.0
-3.521 -2.600 2.019
2.899 -3.403 -1.804
1.963 -0.084 3.315
As Pb P
2 1 1
Direct
0.000 0.000 0.000 As
0.500 0.500 0.000 As
0.000 0.500 0.500 Pb
0.500 0.000 0.500 P

Record 7
As2PPb | Alexandria | GGA-PBE | relaxed; VASP energy = -4.427 eV/atom; DOS(E_F) = 1.1 states/eV/cell
1.0
3.899 0.000 0.000
0.000 3.899 0.000
0.000 0.000 6.400
As P Pb
2 1 1
Direct
0.500 0.500 0.374 As
0.000 0.000 0.972 As
0.000 0.000 0.329 P
0.500 0.500 0.825 Pb

Record 8
As2PPb | Alexandria | GGA-PBE | relaxed; VASP energy = -4.333 eV/atom; DOS(E_F) = 1.8 states/eV/cell
1.0
5.724 0.014 0.001
2.139 5.309 -0.001
-3.149 -3.817 2.877
As Pb P
2 1 1
Direct
0.446 0.446 0.000 As
0.054 0.054 0.000 As
0.750 0.250 0.500 Pb
0.250 0.750 0.500 P

Record 9
As2PPb | Alexandria | GGA-PBE | relaxed; VASP energy = -4.312 eV/atom; DOS(E_F) = 8.3 states/eV/cell
1.0
6.187 0.000 0.000
0.000 6.187 0.000
3.094 3.094 6.212
As Pb P
4 2 2
Direct
0.552 0.125 0.250 As
0.375 0.448 0.750 As
0.875 0.802 0.750 As
0.198 0.625 0.250 As
0.000 0.000 0.000 Pb
0.750 0.250 0.500 Pb
0.250 0.750 0.500 P
0.500 0.500 0.000 P

Record 10
As3PPb | Alexandria | GGA-PBE | relaxed; VASP energy = -4.142 eV/atom; DOS(E_F) = 4.4 states/eV/cell
1.0
-1.637 -4.549 0.577
3.936 -1.709 -2.302
2.353 -0.307 4.252
As P Pb
3 1 1
Direct
0.000 0.000 0.500 As
0.500 0.000 0.000 As
0.000 0.500 0.000 As
0.000 0.000 0.000 P
0.500 0.500 0.500 Pb

Record 11
AsPPd6Pb2 | Alexandria | GGA-PBE | relaxed; VASP energy = -5.185 eV/atom; DOS(E_F) = 7.7 states/eV/cell
1.0
-3.577 -2.936 -4.312
5.215 0.626 -4.753
3.291 -7.803 2.584
P Pd As Pb
2 12 2 4
Direct
0.000 0.757 0.000 P
0.500 0.243 0.500 P
0.500 0.128 0.745 Pd
0.500 0.128 0.255 Pd
0.779 0.446 0.500 Pd
0.000 0.872 0.755 Pd
0.726 0.973 0.000 Pd
0.000 0.872 0.245 Pd
0.221 0.446 0.500 Pd
0.279 0.554 0.000 Pd
0.226 0.027 0.500 Pd
0.721 0.554 0.000 Pd
0.774 0.027 0.500 Pd
0.274 0.973 0.000 Pd
0.000 0.733 0.500 As
0.500 0.267 0.000 As
0.500 0.725 0.274 Pb
0.000 0.275 0.774 Pb
0.500 0.725 0.726 Pb
0.000 0.275 0.226 Pb

Record 12
Pm6As2P3Pb | Alexandria | GGA-PBE | relaxed; VASP energy = -6.139 eV/atom; DOS(E_F) = 4.9 states/eV/cell
1.0
-0.630 1.616 3.816
5.500 -5.657 3.305
5.624 6.420 -4.093
P Pm As Pb
3 6 2 1
Direct
0.834 0.168 0.667 P
0.166 0.832 0.333 P
0.500 0.500 0.000 P
0.333 0.414 0.667 Pm
0.998 0.273 0.997 Pm
0.002 0.727 0.003 Pm
0.325 0.916 0.650 Pm
0.667 0.586 0.333 Pm
0.675 0.084 0.350 Pm
0.167 0.333 0.333 As
0.833 0.667 0.667 As
0.500 0.000 0.000 Pb

Record 13
Pm6As3P2Pb | Alexandria | GGA-PBE | relaxed; VASP energy = -6.067 eV/atom; DOS(E_F) = 3.7 states/eV/cell
1.0
-0.213 -3.822 1.785
8.526 -0.755 -0.600
-0.916 5.827 7.371
Pm P As Pb
6 2 3 1
Direct
0.005 0.271 0.009 Pm
0.325 0.903 0.651 Pm
0.669 0.581 0.338 Pm
0.995 0.729 0.991 Pm
0.675 0.097 0.349 Pm
0.331 0.419 0.662 Pm
0.169 0.338 0.337 P
0.831 0.662 0.663 P
0.164 0.834 0.328 As
0.500 0.500 0.000 As
0.836 0.166 0.672 As
0.500 0.000 0.000 Pb

Record 14
Pr6As3P2Pb | Alexandria | GGA-PBE | relaxed; VASP energy = -6.057 eV/atom; DOS(E_F) = 4.0 states/eV/cell
1.0
-4.120 -0.496 -1.107
-1.223 -5.204 6.888
0.100 8.696 4.064
Pr Pb P As
6 1 2 3
Direct
0.674 0.097 0.349 Pr
0.669 0.581 0.338 Pr
0.996 0.730 0.991 Pr
0.331 0.419 0.662 Pr
0.004 0.270 0.009 Pr
0.326 0.903 0.651 Pr
0.500 0.000 0.000 Pb
0.169 0.338 0.337 P
0.831 0.662 0.663 P
0.164 0.834 0.329 As
0.836 0.166 0.671 As
0.500 0.500 0.000 As

Record 15
AsPPt6Pb2 | Alexandria | GGA-PBE | relaxed; VASP energy = -5.640 eV/atom; DOS(E_F) = 7.9 states/eV/cell
1.0
6.611 0.000 0.000
0.000 7.117 0.000
0.000 0.000 8.389
Pb Pt As P
4 12 2 2
Direct
0.500 0.693 0.287 Pb
0.000 0.307 0.787 Pb
0.000 0.307 0.213 Pb
0.500 0.693 0.713 Pb
0.500 0.091 0.742 Pt
0.218 0.046 0.500 Pt
0.284 0.548 0.000 Pt
0.282 0.954 0.000 Pt
0.500 0.091 0.258 Pt
0.000 0.909 0.758 Pt
0.718 0.954 0.000 Pt
0.784 0.452 0.500 Pt
0.000 0.909 0.242 Pt
0.716 0.548 0.000 Pt
0.782 0.046 0.500 Pt
0.216 0.452 0.500 Pt
0.500 0.260 0.000 As
0.000 0.740 0.500 As
0.500 0.257 0.500 P
0.000 0.743 0.000 P

Record 16
RbAs2PPb | Alexandria | GGA-PBE | relaxed; VASP energy = -3.430 eV/atom; DOS(E_F) = 3.6 states/eV/cell
1.0
4.969 0.000 0.000
0.000 5.801 0.000
0.000 0.000 4.969
As P Pb Rb
2 1 1 1
Direct
0.500 0.000 0.000 As
0.000 0.000 0.500 As
0.000 0.000 0.000 P
0.500 0.500 0.500 Pb
0.000 0.500 0.000 Rb

Record 17
AsP2PbS | Alexandria | GGA-PBE | relaxed; DOS(E_F) = 4.6 states/eV/cell; uncorrected formation energy = 0.638 eV per atom
1.0
-3.397 3.041 -2.104
-3.508 -3.554 0.527
-1.218 1.901 4.714
P As S Pb
2 1 1 1
Direct
0.500 0.000 0.000 P
0.000 0.500 0.000 P
0.000 0.000 0.000 As
0.000 0.000 0.500 S
0.500 0.500 0.500 Pb

Record 18
AsP2PbS | Alexandria | GGA-PBE | relaxed; DOS(E_F) = 4.9 states/eV/cell; uncorrected formation energy = 1.423 eV per atom
1.0
5.346 0.000 0.000
0.000 5.346 0.000
0.000 0.000 5.216
S As P Pb
1 1 2 1
Direct
0.000 0.000 0.500 S
0.500 0.500 0.500 As
0.000 0.500 0.000 P
0.500 0.000 0.000 P
0.000 0.000 0.000 Pb

Record 19
AsPPbS2 | Alexandria | GGA-PBE | relaxed; DOS(E_F) = 6.2 states/eV/cell; uncorrected formation energy = 1.194 eV per atom
1.0
5.182 0.000 0.000
0.000 5.182 0.000
0.000 0.000 5.298
S As P Pb
2 1 1 1
Direct
0.000 0.500 0.000 S
0.500 0.000 0.000 S
0.500 0.500 0.500 As
0.000 0.000 0.500 P
0.000 0.000 0.000 Pb

Record 20
AsPPbS2 | Alexandria | GGA-PBE | relaxed; DOS(E_F) = 3.6 states/eV/cell; uncorrected formation energy = 0.494 eV per atom
1.0
-1.207 -2.229 4.702
5.092 -1.500 0.597
0.995 4.289 2.289
P As S Pb
1 1 2 1
Direct
0.000 0.000 0.500 P
0.000 0.000 0.000 As
0.000 0.500 0.000 S
0.500 0.000 0.000 S
0.500 0.500 0.500 Pb